1.
Here is crystalline BeAgC2O at its relaxed geometry from Alexandria via LeMat-Bulk. Energies are from GGA-PBE.

Values from the calculation:
**DOS at the Fermi energy**: 1.8 states/eV/cell
**SG**: P4/mmm
**Magnetic moment**: 0.000 μB/cell
**Uncorrected formation energy**: 1.501 eV/atom
**Crystal system**: tetragonal

Cell: 4.228 2.929 4.228 Å, 90.00 90.00 90.00°
Atoms (fractional coordinates):
O  0.000  0.000  0.000
C  0.500  0.000  0.000
Ag  0.500  0.500  0.500
Be  0.000  0.500  0.000
C  0.000  0.000  0.500

***

2.
Here is crystalline BeAgOsC2 at its relaxed geometry from Alexandria via LeMat-Bulk. Energies are from GGA-PBE.

Values from the calculation:
**Calculated formation energy**: 11.9 eV/f.u.
**DOS at the Fermi energy**: 3.6 states/eV/cell
**SG**: P4/mmm
**Magnetic moment**: 0.001 μB/cell
**Crystal system**: tetragonal

Cell: 3.723 4.239 3.723 Å, 90.00 90.00 90.00°
Atoms (fractional coordinates):
Ag  0.000  0.500  0.000
C  0.000  0.000  0.500
C  0.500  0.000  0.000
Os  0.500  0.500  0.500
Be  0.000  0.000  0.000

***

3.
Here is crystalline Sc2BeAgC at its relaxed geometry from Alexandria via LeMat-Bulk. Energies are from GGA-PBE.

Values from the calculation:
**Calculated formation energy**: -1.5 eV/f.u.
**DOS at the Fermi energy**: 3.9 states/eV/cell
**SG**: P4/mmm
**Magnetic moment**: 0.000 μB/cell
**Crystal system**: tetragonal

Cell: 4.649 4.649 3.519 Å, 90.00 90.00 90.00°
Atoms (fractional coordinates):
Ag  0.500  0.500  0.500
Be  0.000  0.000  0.500
Sc  0.000  0.500  0.000
Sc  0.500  0.000  0.000
C  0.000  0.000  0.000

***

4.
Here is crystalline ScBeAgC2 at its relaxed geometry from Alexandria via LeMat-Bulk. Energies are from GGA-PBE.

Values from the calculation:
**Calculated formation energy**: 9.4 eV/f.u.
**DOS at the Fermi energy**: 4.6 states/eV/cell
**SG**: P4/mmm
**Magnetic moment**: 0.000 μB/cell
**Crystal system**: tetragonal

Cell: 4.211 4.054 4.211 Å, 90.00 90.00 90.00°
Atoms (fractional coordinates):
Be  0.000  0.500  0.000
Ag  0.000  0.000  0.000
Sc  0.500  0.500  0.500
C  0.500  0.000  0.000
C  0.000  0.000  0.500

***

5.
Here is crystalline ZrBe2AgC at its relaxed geometry from Alexandria via LeMat-Bulk. Energies are from GGA-PBE.

Values from the calculation:
**Calculated formation energy**: 14.5 eV/f.u.
**DOS at the Fermi energy**: 4.3 states/eV/cell
**SG**: P4/mmm
**Magnetic moment**: 1.053 μB/cell
**Crystal system**: tetragonal

Cell: 4.774 5.277 4.774 Å, 90.00 90.00 90.00°
Last column: magnetic moment on the atom in μB.
Atoms (fractional coordinates):
Be  0.500  0.000  0.000  -0.02
C  0.500  0.500  0.500  0.60
Zr  0.000  0.000  0.000  -0.05
Be  0.000  0.000  0.500  -0.01
Ag  0.000  0.500  0.000  -0.01

***

6.
Here is crystalline Ca2BeAg2 at its relaxed geometry from Alexandria via LeMat-Bulk. Energies are from GGA-PBE.

Values from the calculation:
**Calculated formation energy**: 0.1 eV/f.u.
**DOS at the Fermi energy**: 5.7 states/eV/cell
**SG**: P4/mbm
**Magnetic moment**: 0.000 μB/cell
**Crystal system**: tetragonal

Cell: 7.168 7.168 4.530 Å, 90.00 90.00 90.00°
Atoms (fractional coordinates):
Ca  0.173  0.673  0.500
Be  0.500  0.500  0.000
Be  0.000  0.000  0.000
Ag  0.859  0.641  0.000
Ag  0.141  0.359  0.000
Ca  0.827  0.327  0.500
Ag  0.641  0.141  0.000
Ag  0.359  0.859  0.000
Ca  0.673  0.827  0.500
Ca  0.327  0.173  0.500

***

7.
Here is crystalline CaBe2Ag at its relaxed geometry from Alexandria via LeMat-Bulk. Energies are from GGA-PBE.

Values from the calculation:
**Calculated formation energy**: 1.1 eV/f.u.
**DOS at the Fermi energy**: 1.6 states/eV/cell
**SG**: P2/m
**Energy relative to the lowest polymorph listed for this composition**: 0.210 eV per atom
**Magnetic moment**: 0.000 μB/cell
**Crystal system**: monoclinic

Cell: 3.108 3.224 7.393 Å, 64.02 90.00 90.00°
Atoms (fractional coordinates):
Be  0.000  0.428  0.573
Ag  0.500  0.750  0.750
Ca  0.500  0.250  0.250
Be  0.000  0.072  0.927

***

8.
Here is crystalline CaBeAg2 at its relaxed geometry from Alexandria via LeMat-Bulk. Energies are from GGA-PBE.

Values from the calculation:
**Calculated formation energy**: 0.7 eV/f.u.
**DOS at the Fermi energy**: 2.4 states/eV/cell
**SG**: F-43m
**Magnetic moment**: 0.000 μB/cell
**Crystal system**: cubic

Cell: 4.765 4.765 4.765 Å, 60.00 60.00 60.00°
Atoms (fractional coordinates):
Ag  0.000  0.000  0.000
Ca  0.750  0.750  0.750
Ag  0.250  0.250  0.250
Be  0.500  0.500  0.500

***

9.
Here is crystalline CaBeAg2 at its relaxed geometry from Alexandria via LeMat-Bulk. Energies are from GGA-PBE.

Values from the calculation:
**Calculated formation energy**: 0.2 eV/f.u.
**DOS at the Fermi energy**: 1.2 states/eV/cell
**SG**: P4mm
**Magnetic moment**: 0.000 μB/cell
**Crystal system**: tetragonal

Cell: 3.378 3.379 6.726 Å, 90.00 90.00 90.00°
Atoms (fractional coordinates):
Ag  0.500  0.500  0.296
Ag  0.000  0.000  0.043
Ca  0.500  0.500  0.740
Be  0.000  0.000  0.421

***

10.
Here is crystalline CaBeAg2 at its relaxed geometry from Alexandria via LeMat-Bulk. Energies are from GGA-PBE.

Values from the calculation:
**Calculated formation energy**: 0.4 eV/f.u.
**DOS at the Fermi energy**: 1.3 states/eV/cell
**SG**: Amm2
**Magnetic moment**: 0.000 μB/cell
**Crystal system**: orthorhombic

Cell: 4.246 3.551 5.695 Å, 71.82 90.00 90.00°
Atoms (fractional coordinates):
Ag  0.500  0.433  0.259
Ca  0.500  0.704  0.717
Ag  0.000  0.019  0.087
Be  0.000  0.344  0.437

***

11.
Here is crystalline CaBe2Ag2 at its relaxed geometry from Alexandria via LeMat-Bulk. Energies are from GGA-PBE.

Values from the calculation:
**Calculated formation energy**: 0.5 eV/f.u.
**DOS at the Fermi energy**: 2.1 states/eV/cell
**SG**: I4/mmm
**Energy relative to the lowest polymorph listed for this composition**: 0.000 eV per atom
**Magnetic moment**: 0.000 μB/cell
**Crystal system**: tetragonal

Cell: 4.327 4.327 5.660 Å, 67.53 67.53 90.00°
Atoms (fractional coordinates):
Be  0.250  0.750  0.500
Ca  0.000  0.000  0.000
Be  0.750  0.250  0.500
Ag  0.354  0.354  0.291
Ag  0.646  0.646  0.709

***

12.
Here is crystalline Ca2BeAg at its relaxed geometry from Alexandria via LeMat-Bulk. Energies are from GGA-PBE.

Values from the calculation:
**Calculated formation energy**: 0.4 eV/f.u.
**DOS at the Fermi energy**: 2.3 states/eV/cell
**SG**: P4mm
**Magnetic moment**: 0.000 μB/cell
**Crystal system**: tetragonal

Cell: 3.419 3.419 8.264 Å, 90.00 90.00 90.00°
Atoms (fractional coordinates):
Ag  0.000  0.000  0.571
Ca  0.000  0.000  0.933
Be  0.500  0.500  0.684
Ca  0.500  0.500  0.312

***

13.
Here is crystalline CaBe2Ag at its relaxed geometry from Alexandria via LeMat-Bulk. Energies are from GGA-PBE.

Values from the calculation:
**Calculated formation energy**: 1.4 eV/f.u.
**DOS at the Fermi energy**: 2.1 states/eV/cell
**SG**: Fm-3m
**Energy relative to the lowest polymorph listed for this composition**: 0.281 eV per atom
**Magnetic moment**: 0.000 μB/cell
**Crystal system**: cubic

Cell: 4.483 4.483 4.483 Å, 60.00 60.00 60.00°
Atoms (fractional coordinates):
Ca  0.000  0.000  0.000
Be  0.250  0.250  0.250
Be  0.750  0.750  0.750
Ag  0.500  0.500  0.500

***

14.
Here is crystalline CaBeAg at its relaxed geometry from Alexandria via LeMat-Bulk. Energies are from GGA-PBE.

Values from the calculation:
**Calculated formation energy**: 0.9 eV/f.u.
**DOS at the Fermi energy**: 2.5 states/eV/cell
**SG**: F-43m
**Energy relative to the lowest polymorph listed for this composition**: 0.267 eV per atom
**Magnetic moment**: 0.000 μB/cell
**Crystal system**: cubic

Cell: 4.540 4.540 4.540 Å, 60.00 60.00 60.00°
Atoms (fractional coordinates):
Ag  0.500  0.500  0.500
Ca  0.000  0.000  0.000
Be  0.750  0.750  0.750